# 1
# KNa2CuF4 | the Alexandria database | PBE | optimized geometry
# magnetic moment	0.0144	μB/atom
# ΔE_f (raw)	-2.22	eV per atom
# uncorrected energy	-4.14	eV/atom
data_KNa2CuF4
_cell_length_a 3.429
_cell_length_b 11.782
_cell_length_c 11.890
_cell_angle_alpha 90.00
_cell_angle_beta 90.00
_cell_angle_gamma 90.00
_space_group_name_H-M_alt 'C m c m'
_space_group_IT_number 63
_space_group_name_Hall '-C 2c 2'
loop_
_atom_site_label
_atom_site_type_symbol
_atom_site_fract_x
_atom_site_fract_y
_atom_site_fract_z
K1 K 0.000 0.121 0.250
Na1 Na 0.000 0.373 0.040
Cu1 Cu 0.000 0.149 0.750
F1 F 0.000 0.000 0.000
F2 F 0.000 0.256 0.613
F3 F 0.000 0.451 0.250

***

# 2
# K2NaCu2F6 | the Alexandria database | PBE | optimized geometry
# magnetic moment	0.0913	μB/atom
# DOS(E_F)	41.8	states/eV/cell
# ΔE_f (raw)	-2.06	eV per atom
# uncorrected energy	-4.14	eV/atom
data_K2NaCu2F6
_cell_length_a 6.2419
_cell_length_b 6.2419
_cell_length_c 17.3325
_cell_angle_alpha 90.00
_cell_angle_beta 90.00
_cell_angle_gamma 120.00
_space_group_name_H-M_alt 'R -3 m'
_space_group_IT_number 166
_space_group_name_Hall '-R 3 2"'
loop_
_atom_site_label
_atom_site_type_symbol
_atom_site_fract_x
_atom_site_fract_y
_atom_site_fract_z
K1 K 0.0000 0.0000 0.2084
Na1 Na 0.0000 0.0000 0.0000
Cu1 Cu 0.0000 0.0000 0.4248
F1 F 0.0166 0.5083 0.7547